--- A ---
DFT (PBE) results for a relaxed HgSI crystal.

crystal system: triclinic
calculated volume: 33.69 Å³ per atom

a b c (Å): 4.251 6.785 7.347
angles (deg): 72.62 89.31 88.11
Positions (direct):
1 Hg 0.003 0.139 0.200
2 Hg 0.997 0.861 0.800
3 S 0.494 0.149 0.407
4 S 0.506 0.851 0.593
5 I 0.028 0.688 0.198
6 I 0.972 0.312 0.802

***

--- B ---
DFT (PBE) results for a relaxed HgSI crystal.

crystal system: triclinic
calculated volume: 32.64 Å³ per atom

a b c (Å): 4.312 4.422 6.172
angles (deg): 105.04 90.99 119.06
Positions (direct):
1 Hg 0.000 0.000 0.000
2 S 0.319 0.644 0.874
3 I 0.309 0.628 0.401

***

--- C ---
DFT (PBE) results for a relaxed HgSI crystal.

crystal system: triclinic
calculated volume: 40.71 Å³ per atom

a b c (Å): 4.641 4.655 11.367
angles (deg): 85.74 85.95 89.86
Positions (direct):
1 Hg 0.173 0.174 0.430
2 Hg 0.827 0.826 0.570
3 S 0.090 0.091 0.060
4 S 0.910 0.909 0.940
5 I 0.458 0.459 0.702
6 I 0.542 0.541 0.298

***

--- D ---
DFT (PBE) results for a relaxed HgSI crystal.

crystal system: triclinic
calculated volume: 38.09 Å³ per atom

a b c (Å): 4.455 7.091 7.954
angles (deg): 108.50 105.47 90.29
Positions (direct):
1 Hg 0.000 0.000 0.000
2 Hg 0.335 0.389 0.675
3 S 0.463 0.047 0.258
4 S 0.544 0.341 0.414
5 I 0.128 0.487 0.979
6 I 0.502 0.900 0.696

***

Result of the stability comparison: B is the least stable of them.

***

--- A ---
DFT (PBE) results for a relaxed Hg2SI2 crystal.

crystal system: monoclinic
calculated volume: 41.12 Å³ per atom

a b c (Å): 9.963 9.963 11.490
angles (deg): 119.29 119.29 24.61
Positions (direct):
1 Hg 0.130 0.130 0.130
2 Hg 0.325 0.325 0.476
3 Hg 0.675 0.675 0.524
4 Hg 0.870 0.870 0.870
5 S 0.165 0.165 0.362
6 S 0.835 0.835 0.638
7 I 0.133 0.133 0.654
8 I 0.399 0.399 0.055
9 I 0.601 0.601 0.945
10 I 0.867 0.867 0.346

***

--- B ---
DFT (PBE) results for a relaxed Hg2SI2 crystal.

crystal system: triclinic
calculated volume: 41.94 Å³ per atom

a b c (Å): 4.576 7.636 12.899
angles (deg): 79.59 79.81 72.61
Positions (direct):
1 Hg 0.133 0.483 0.172
2 Hg 0.288 0.018 0.328
3 Hg 0.712 0.982 0.672
4 Hg 0.867 0.517 0.828
5 S 0.465 0.750 0.750
6 S 0.535 0.250 0.250
7 I 0.000 0.240 0.585
8 I 0.000 0.760 0.415
9 I 0.324 0.260 0.915
10 I 0.676 0.740 0.085

***

Result of the stability comparison: A is the least stable of them.

***

--- A ---
DFT (PBE) results for a relaxed HgS2I crystal.

crystal system: trigonal
calculated volume: 30.98 Å³ per atom

a b c (Å): 5.736 5.736 5.736
angles (deg): 56.90 56.90 56.90
Positions (direct):
1 Hg 0.000 0.000 0.000
2 S 0.163 0.163 0.163
3 S 0.837 0.837 0.837
4 I 0.500 0.500 0.500

***

--- B ---
DFT (PBE) results for a relaxed HgS2I crystal.

crystal system: triclinic
calculated volume: 35.44 Å³ per atom

a b c (Å): 4.295 4.897 7.408
angles (deg): 91.08 94.46 113.94
Positions (direct):
1 Hg 0.000 0.000 0.000
2 S 0.325 0.277 0.290
3 S 0.812 0.526 0.268
4 I 0.420 0.813 0.760

***

--- C ---
DFT (PBE) results for a relaxed HgS2I crystal.

crystal system: trigonal
calculated volume: 28.42 Å³ per atom

a b c (Å): 8.250 8.250 8.250
angles (deg): 28.59 28.59 28.59
Positions (direct):
1 Hg 0.000 0.000 0.000
2 S 0.391 0.391 0.391
3 S 0.609 0.609 0.609
4 I 0.500 0.500 0.500

***

--- D ---
DFT (PBE) results for a relaxed HgS2I crystal.

crystal system: tetragonal
calculated volume: 27.97 Å³ per atom

a b c (Å): 6.690 6.690 6.690
angles (deg): 115.51 115.51 97.97
Positions (direct):
1 Hg 0.000 0.000 0.000
2 Hg 0.750 0.250 0.500
3 S 0.094 0.625 0.969
4 S 0.375 0.344 0.469
5 S 0.656 0.125 0.031
6 S 0.875 0.906 0.531
7 I 0.250 0.750 0.500
8 I 0.500 0.500 0.000

***

Result of the stability comparison: D is the least stable of them.

***

--- A ---
DFT (PBE) results for a relaxed HgS3I crystal.

crystal system: triclinic
calculated volume: 37.43 Å³ per atom

a b c (Å): 5.104 7.366 9.963
angles (deg): 91.88 90.34 91.35
Positions (direct):
1 Hg 0.000 0.000 0.000
2 Hg 0.479 0.128 0.443
3 S 0.141 0.980 0.568
4 S 0.166 0.704 0.525
5 S 0.258 0.580 0.696
6 S 0.699 0.181 0.882
7 S 0.825 0.443 0.945
8 S 0.866 0.596 0.784
9 I 0.325 0.806 0.142
10 I 0.817 0.327 0.306

***

--- B ---
DFT (PBE) results for a relaxed HgS3I crystal.

crystal system: cubic
calculated volume: 26.98 Å³ per atom

a b c (Å): 5.128 5.128 5.128
angles (deg): 90.00 90.00 90.00
Positions (direct):
1 Hg 0.000 0.000 0.000
2 S 0.000 0.500 0.500
3 S 0.500 0.000 0.500
4 S 0.500 0.500 0.000
5 I 0.500 0.500 0.500

***

Result of the stability comparison: B is the least stable of them.

***

--- A ---
DFT (PBE) results for a relaxed HgSbSI2 crystal.

crystal system: tetragonal
calculated volume: 35.50 Å³ per atom

a b c (Å): 5.861 5.861 5.167
angles (deg): 90.00 90.00 90.00
Positions (direct):
1 Hg 0.000 0.000 0.000
2 Sb 0.500 0.500 0.000
3 S 0.500 0.500 0.500
4 I 0.000 0.500 0.500
5 I 0.500 0.000 0.500

***

--- B ---
DFT (PBE) results for a relaxed HgSbSI2 crystal.

crystal system: tetragonal
calculated volume: 37.40 Å³ per atom

a b c (Å): 5.664 5.664 5.829
angles (deg): 90.00 90.00 90.00
Positions (direct):
1 Hg 0.000 0.000 0.000
2 Sb 0.000 0.000 0.500
3 S 0.500 0.500 0.500
4 I 0.000 0.500 0.000
5 I 0.500 0.000 0.000

***

Result of the stability comparison: B is the least stable of them.

***

--- A ---
DFT (PBE) results for a relaxed HgSb2SI crystal.

crystal system: tetragonal
calculated volume: 32.25 Å³ per atom

a b c (Å): 5.305 5.305 5.731
angles (deg): 90.00 90.00 90.00
Positions (direct):
1 Hg 0.000 0.000 0.000
2 Sb 0.000 0.500 0.500
3 Sb 0.500 0.000 0.500
4 S 0.500 0.500 0.500
5 I 0.500 0.500 0.000

***

--- B ---
DFT (PBE) results for a relaxed HgSb2SI crystal.

crystal system: tetragonal
calculated volume: 35.48 Å³ per atom

a b c (Å): 5.630 5.630 5.597
angles (deg): 90.00 90.00 90.00
Positions (direct):
1 Hg 0.000 0.000 0.000
2 Sb 0.000 0.500 0.000
3 Sb 0.500 0.000 0.000
4 S 0.500 0.500 0.500
5 I 0.000 0.000 0.500

***

Result of the stability comparison: B is the least stable of them.

***

--- A ---
DFT (PBE) results for a relaxed HgTe2SI crystal.

crystal system: tetragonal
calculated volume: 32.19 Å³ per atom

a b c (Å): 5.362 5.362 5.597
angles (deg): 90.00 90.00 90.00
Positions (direct):
1 Hg 0.000 0.000 0.000
2 Te 0.000 0.500 0.500
3 Te 0.500 0.000 0.500
4 S 0.500 0.500 0.500
5 I 0.500 0.500 0.000

***

--- B ---
DFT (PBE) results for a relaxed HgTe2SI crystal.

crystal system: tetragonal
calculated volume: 36.16 Å³ per atom

a b c (Å): 5.670 5.670 5.624
angles (deg): 90.00 90.00 90.00
Positions (direct):
1 Hg 0.000 0.000 0.000
2 Te 0.000 0.500 0.000
3 Te 0.500 0.000 0.000
4 S 0.500 0.500 0.500
5 I 0.000 0.000 0.500

***

Result of the stability comparison: B is the least stable of them.

***

--- A ---
DFT (PBE) results for a relaxed Hg2Sb2I crystal.

crystal system: tetragonal
calculated volume: 30.86 Å³ per atom

a b c (Å): 8.665 8.665 8.665
angles (deg): 150.82 150.82 41.73
Positions (direct):
1 Hg 0.096 0.096 0.000
2 Hg 0.904 0.904 0.000
3 Sb 0.250 0.750 0.500
4 Sb 0.750 0.250 0.500
5 I 0.500 0.500 0.000

***

--- B ---
DFT (PBE) results for a relaxed Hg2Sb2I crystal.

crystal system: tetragonal
calculated volume: 33.60 Å³ per atom

a b c (Å): 10.606 10.606 2.986
angles (deg): 90.00 90.00 90.00
Positions (direct):
1 Hg 0.191 0.309 0.000
2 Hg 0.309 0.809 0.000
3 Hg 0.691 0.191 0.000
4 Hg 0.809 0.691 0.000
5 Sb 0.097 0.597 0.500
6 Sb 0.403 0.097 0.500
7 Sb 0.597 0.903 0.500
8 Sb 0.903 0.403 0.500
9 I 0.000 0.000 0.000
10 I 0.500 0.500 0.000

***

--- C ---
DFT (PBE) results for a relaxed Hg2Sb2I crystal.

crystal system: tetragonal
calculated volume: 31.63 Å³ per atom

a b c (Å): 6.457 6.457 6.457
angles (deg): 129.04 129.04 74.94
Positions (direct):
1 Hg 0.250 0.750 0.500
2 Hg 0.750 0.250 0.500
3 Sb 0.140 0.140 0.000
4 Sb 0.860 0.860 0.000
5 I 0.500 0.500 0.000

***

Result of the stability comparison: B is the least stable of them.

***

--- A ---
DFT (PBE) results for a relaxed Hg2Sb2I crystal.

crystal system: tetragonal
calculated volume: 29.16 Å³ per atom

a b c (Å): 8.643 8.643 3.903
angles (deg): 90.00 90.00 90.00
Positions (direct):
1 Hg 0.170 0.330 0.000
2 Hg 0.330 0.830 0.000
3 Hg 0.670 0.170 0.000
4 Hg 0.830 0.670 0.000
5 Sb 0.130 0.630 0.500
6 Sb 0.370 0.130 0.500
7 Sb 0.630 0.870 0.500
8 Sb 0.870 0.370 0.500
9 I 0.000 0.000 0.500
10 I 0.500 0.500 0.500

***

--- B ---
DFT (PBE) results for a relaxed Hg2Sb2I crystal.

crystal system: monoclinic
calculated volume: 40.39 Å³ per atom

a b c (Å): 5.111 5.111 15.871
angles (deg): 99.13 99.13 90.17
Positions (direct):
1 Hg 0.060 0.314 0.123
2 Hg 0.314 0.060 0.623
3 Hg 0.686 0.940 0.377
4 Hg 0.940 0.686 0.877
5 Sb 0.274 0.522 0.547
6 Sb 0.478 0.726 0.953
7 Sb 0.522 0.274 0.047
8 Sb 0.726 0.478 0.453
9 I 0.124 0.876 0.250
10 I 0.876 0.124 0.750

***

Result of the stability comparison: A is the least stable of them.

***

--- A ---
DFT (PBE) results for a relaxed Hg4SbI crystal.

crystal system: monoclinic
calculated volume: 33.62 Å³ per atom

a b c (Å): 7.927 7.927 6.886
angles (deg): 101.52 101.52 74.41
Positions (direct):
1 Hg 0.098 0.662 0.368
2 Hg 0.214 0.786 0.000
3 Hg 0.278 0.278 0.644
4 Hg 0.338 0.902 0.632
5 Hg 0.662 0.098 0.368
6 Hg 0.722 0.722 0.356
7 Hg 0.786 0.214 0.000
8 Hg 0.902 0.338 0.632
9 Sb 0.493 0.493 0.209
10 Sb 0.507 0.507 0.791
11 I 0.198 0.198 0.131
12 I 0.802 0.802 0.869

***

--- B ---
DFT (PBE) results for a relaxed Hg4SbI crystal.

crystal system: monoclinic
calculated volume: 35.92 Å³ per atom

a b c (Å): 8.550 8.550 7.767
angles (deg): 112.55 112.55 57.60
Positions (direct):
1 Hg 0.040 0.829 0.530
2 Hg 0.171 0.960 0.970
3 Hg 0.278 0.338 0.833
4 Hg 0.338 0.278 0.333
5 Hg 0.662 0.722 0.667
6 Hg 0.722 0.662 0.167
7 Hg 0.829 0.040 0.030
8 Hg 0.960 0.171 0.470
9 Sb 0.000 0.500 0.500
10 Sb 0.500 0.000 0.000
11 I 0.365 0.635 0.250
12 I 0.635 0.365 0.750

***

Result of the stability comparison: A is the least stable of them.